# Sr2TlOs

A relaxed structure of Sr2TlOs (PBE, Alexandria).

```
data_Sr2TlOs
_chemical_formula_sum 'Sr2 Tl1 Os1'
_symmetry_space_group_name_H-M 'P 1 2/m 1'
_symmetry_Int_Tables_number 10
_cell_length_a 5.759
_cell_length_b 3.189
_cell_length_c 6.437
_cell_angle_alpha 90.00
_cell_angle_beta 105.68
_cell_angle_gamma 90.00
loop_
_symmetry_equiv_pos_as_xyz
'x,y,z'
'-x,-y,-z'
'-x,y,-z'
'x,-y,z'
loop_
_atom_site_label
_atom_site_fract_x
_atom_site_fract_y
_atom_site_fract_z
Sr1 0.000 0.000 0.000
Sr2 0.500 0.500 0.500
Tl1 0.000 0.000 0.500
Os1 0.500 0.500 0.000
```

Calculated values
Its energy relative to the elements is 739 meV per atom. The crystal system is monoclinic. Its relative energy among the computed polymorphs is 426 meV/atom. The theoretical density comes out at 8.31 g cm⁻³. The value obtained for the raw total energy is -0.129 hartree per atom.